First-principles (GGA+U) data for a relaxed structure of CaMo2O4, as listed in the Alexandria database.

Cell and atoms, written as POSCAR:
```
CaMo2O4
1.0
1.613 -5.284 0.000
1.613 5.284 0.000
0.000 0.000 10.504
Ca Mo O
2 4 8
Cartesian
1.613 4.083 7.878
1.613 -4.083 2.626
1.613 1.406 6.000
1.613 1.406 9.756
1.613 -1.406 0.748
1.613 -1.406 4.504
0.000 0.000 0.000
0.000 0.000 5.252
1.613 2.489 1.167
1.613 2.489 4.085
1.613 0.405 7.878
1.613 -0.405 2.626
1.613 -2.489 6.419
1.613 -2.489 9.337
```

Values from the calculation:
The magnetization comes out at 0.857 μB per atom. Its electronic total energy is -0.526 Ry/atom. The crystal system is orthorhombic.